# 1
Here is an optimized crystal structure of Zr2Pd from the Alexandria database. Energies are from PBE.

Cell and atoms, written as POSCAR:
```
Zr2Pd
1.0
5.922 0.010 0.000
4.023 4.345 0.000
-4.972 -2.178 2.366
Zr Pd
2 1
Direct
0.343 0.343 0.000 Zr
0.657 0.657 0.000 Zr
0.000 0.000 0.000 Pd
```

Computed properties:
Magnetization (Bohr magnetons per cell): 0.00
Formation energy from the elements (meV/atom): -484

# 2
Here is an optimized crystal structure of AcGdSb2 from the Alexandria database. Energies are from PBE.

Cell and atoms, written as POSCAR:
```
AcGdSb2
1.0
3.947 0.000 0.000
0.000 3.947 0.000
0.000 0.000 7.988
Gd Sb Ac
1 2 1
Direct
0.500 0.500 0.000 Gd
0.000 0.000 0.230 Sb
0.000 0.000 0.770 Sb
0.500 0.500 0.500 Ac
```

Computed properties:
ΔE_f (raw) (kJ per mole of atoms): -86.71
Magnetization (Bohr magnetons per cell): 7.03